# 1
Here is ZrSc2Mo after structural relaxation from Alexandria via LeMat-Bulk. Energies are from PBE-GGA.

Output
total magnetic moment: 0.0 μB/f.u.
excess energy over the best structure of this formula in the dataset: 163 meV per atom
space-group type: R-3m (166)
formation enthalpy at 0 K: 85 kJ/mol of formula units
crystal system: trigonal
raw total energy: -0.573 Ry per atom

Lattice parameters (Å, degrees): 10.248 10.248 10.248 17.38 17.38 17.38
Fractional positions:
Sc 0.493 0.493 0.493
Zr 0.250 0.250 0.250
Sc 0.007 0.007 0.007
Mo 0.750 0.750 0.750

# 2
Here is AlCr2Cu after structural relaxation from Alexandria via LeMat-Bulk. Energies are from PBE-GGA.

Output
total magnetic moment: 0.0 μB/f.u.
space-group type: I4/mmm (139)
formation enthalpy at 0 K: 20 kJ/mol of formula units
crystal system: tetragonal
raw total energy: -0.494 Ry per atom

Lattice parameters (Å, degrees): 4.777 4.777 4.777 137.44 137.44 61.76
Fractional positions:
Al 0.750 0.250 0.500
Cu 0.250 0.750 0.500
Cr 0.000 0.000 0.000
Cr 0.500 0.500 0.000

# 3
Here is Li2PrGa3 after structural relaxation from Alexandria via LeMat-Bulk. Energies are from PBE-GGA.

Output
total magnetic moment: 0.0 μB/f.u.
space-group type: Cmcm (63)
formation enthalpy at 0 K: -240 kJ/mol of formula units
crystal system: orthorhombic
raw total energy: -0.247 Ry per atom

Lattice parameters (Å, degrees): 4.919 6.858 6.858 100.74 90.00 90.00
Fractional positions:
Ga 0.250 0.930 0.930
Ga 0.250 0.915 0.541
Ga 0.250 0.541 0.915
Li 0.000 0.218 0.782
Pr 0.250 0.320 0.320
Li 0.500 0.782 0.218
Pr 0.750 0.680 0.680
Ga 0.750 0.070 0.070
Li 0.500 0.218 0.782
Ga 0.750 0.459 0.085
Li 0.000 0.782 0.218
Ga 0.750 0.085 0.459